No. 1
CsKSn3 PBE optimized geometry; relative energy among the computed polymorphs = 0.000 eV/atom; M_tot = 0.00 μB/atom; E_form = 0.6499 eV/atom; final energy = -0.079 hartree per atom; symmetry = Pm-3m, No. 221
1.0
6.1687 0.0000 0.0000
0.0000 6.1687 0.0000
0.0000 0.0000 6.1687
Cs K Sn
1 1 3
direct
0.0000 0.0000 0.0000
0.5000 0.5000 0.5000
0.0000 0.5000 0.5000
0.5000 0.0000 0.5000
0.5000 0.5000 0.0000

***

No. 2
LaPrSnPb PBE optimized geometry; relative energy among the computed polymorphs = 0.144 eV/atom; M_tot = 0.00 μB/atom; E_form = -0.5450 eV/atom; final energy = -0.180 hartree per atom; symmetry = F-43m, No. 216
1.0
0.0000 3.9693 3.9693
3.9693 0.0000 3.9693
3.9693 3.9693 0.0000
La Pr Sn Pb
1 1 1 1
direct
0.0000 0.0000 0.0000
0.5000 0.5000 0.5000
0.2500 0.2500 0.2500
0.7500 0.7500 0.7500

***

No. 3
Sr2GePb2 PBE optimized geometry; relative energy among the computed polymorphs = 0.000 eV/atom; M_tot = 0.00 μB/atom; E_form = -0.3626 eV/atom; final energy = -0.126 hartree per atom; symmetry = P4/mbm, No. 127
1.0
8.0172 0.0000 0.0000
0.0000 8.0172 0.0000
0.0000 0.0000 5.1142
Sr Ge Pb
4 2 4
direct
0.1704 0.3296 0.0000
0.3296 0.8296 0.0000
0.6704 0.1704 0.0000
0.8296 0.6704 0.0000
0.0000 0.0000 0.5000
0.5000 0.5000 0.5000
0.1384 0.6384 0.5000
0.3616 0.1384 0.5000
0.6384 0.8616 0.5000
0.8616 0.3616 0.5000

***

No. 4
Tl2TeI6 PBE optimized geometry; formation energy (no corrections) = -31.6 kJ/mol of atoms; relative energy among the computed polymorphs = 0.044 eV/atom; M_tot = 0.00 μB/atom; final energy = -0.082 hartree per atom; symmetry = P4_2/mnm, No. 136
1.0
7.9657 0.0000 0.0000
0.0000 7.9657 0.0000
0.0000 0.0000 14.2201
Tl Te I
4 2 12
direct
0.0000 0.0000 0.1596
0.0000 0.0000 0.8404
0.5000 0.5000 0.3404
0.5000 0.5000 0.6596
0.0000 0.0000 0.5000
0.5000 0.5000 0.0000
0.1865 0.1865 0.3508
0.1865 0.1865 0.6492
0.2357 0.2357 0.0000
0.2643 0.7357 0.5000
0.3135 0.6865 0.1492
0.3135 0.6865 0.8508
0.6865 0.3135 0.1492
0.6865 0.3135 0.8508
0.7357 0.2643 0.5000
0.7643 0.7643 0.0000
0.8135 0.8135 0.3508
0.8135 0.8135 0.6492

***

No. 5
FeSn2Ru2 PBE optimized geometry; M_tot = 0.04 μB/atom; E_form = 0.4124 eV/atom; final energy = -0.242 hartree per atom; symmetry = P4/mbm, No. 127
1.0
7.2053 0.0000 0.0000
0.0000 7.2053 0.0000
0.0000 0.0000 3.2995
Fe Sn Ru
2 4 4
direct
0.0000 0.0000 0.0000
0.5000 0.5000 0.0000
0.1642 0.3358 0.5000
0.3358 0.8358 0.5000
0.6642 0.1642 0.5000
0.8358 0.6642 0.5000
0.1370 0.6370 0.0000
0.3630 0.1370 0.0000
0.6370 0.8630 0.0000
0.8630 0.3630 0.0000

***

No. 6
Ac2AlCu2S6 PBE optimized geometry; formation energy (no corrections) = -106.7 kJ/mol of atoms; M_tot = 0.00 μB/atom; final energy = -0.191 hartree per atom; symmetry = R-3m, No. 166
1.0
3.4280 1.9791 5.9766
-3.4280 1.9791 5.9766
0.0000 -3.9583 5.9766
Ac Al Cu S
2 1 2 6
direct
0.2239 0.2239 0.2239
0.7761 0.7761 0.7761
0.0000 0.0000 0.0000
0.4157 0.4157 0.4157
0.5843 0.5843 0.5843
0.2146 0.7619 0.7619
0.2381 0.2381 0.7854
0.2381 0.7854 0.2381
0.7619 0.2146 0.7619
0.7619 0.7619 0.2146
0.7854 0.2381 0.2381

***

No. 7
LiTmSn2S4 PBE optimized geometry; formation energy (no corrections) = -102.0 kJ/mol of atoms; M_tot = 0.00 μB/atom; final energy = -0.181 hartree per atom; symmetry = P2/m, No. 10
1.0
6.8053 0.0000 0.0000
0.0000 3.9864 0.0000
-2.2231 0.0000 6.6756
Li Tm Sn S
1 1 2 4
direct
0.0000 0.0000 0.0000
0.5000 0.5000 0.0000
0.0000 0.5000 0.5000
0.5000 0.0000 0.5000
0.2489 0.5000 0.2294
0.2598 0.0000 0.7756
0.7402 0.0000 0.2244
0.7511 0.5000 0.7706

***

No. 8
Pm3DyZn8 PBE optimized geometry; relative energy among the computed polymorphs = 0.016 eV/atom; M_tot = 0.00 μB/atom; E_form = -0.3112 eV/atom; final energy = -0.100 hartree per atom; symmetry = P3m1, No. 156
1.0
5.6397 0.0000 0.0000
-2.8198 4.8841 0.0000
0.0000 0.0000 8.6910
Pm Dy Zn
3 1 8
direct
0.0000 0.0000 0.0000
0.0000 0.0000 0.3938
0.3333 0.6667 0.8927
0.3333 0.6667 0.5030
0.0003 0.5002 0.2002
0.3375 0.1687 0.6959
0.4998 0.9997 0.2002
0.4998 0.5002 0.2002
0.6667 0.3333 0.4460
0.6667 0.3333 0.9493
0.8313 0.1687 0.6959
0.8313 0.6625 0.6959

***

No. 9
Li3ThZn3 PBE optimized geometry; M_tot = 0.00 μB/atom; E_form = 0.2644 eV/atom; final energy = -0.079 hartree per atom; symmetry = Pm-3n, No. 223
1.0
6.4940 0.0000 0.0000
0.0000 6.4940 0.0000
0.0000 0.0000 6.4940
Li Th Zn
6 2 6
direct
0.0000 0.2500 0.5000
0.0000 0.7500 0.5000
0.2500 0.5000 0.0000
0.5000 0.0000 0.2500
0.5000 0.0000 0.7500
0.7500 0.5000 0.0000
0.0000 0.0000 0.0000
0.5000 0.5000 0.5000
0.0000 0.5000 0.2500
0.0000 0.5000 0.7500
0.2500 0.0000 0.5000
0.5000 0.2500 0.0000
0.5000 0.7500 0.0000
0.7500 0.0000 0.5000

***

No. 10
CrSI2N PBE optimized geometry; formation energy (no corrections) = 57.7 kJ/mol of atoms; relative energy among the computed polymorphs = 0.000 eV/atom; M_tot = 0.00 μB/atom; final energy = -0.163 hartree per atom; symmetry = P4/mmm, No. 123
1.0
5.3546 0.0000 0.0000
0.0000 5.3546 0.0000
0.0000 0.0000 3.5815
Cr S I N
1 1 2 1
direct
0.0000 0.0000 0.0000
0.5000 0.5000 0.5000
0.0000 0.5000 0.0000
0.5000 0.0000 0.0000
0.0000 0.0000 0.5000

***

No. 11
Mg2Sb PBE optimized geometry; formation energy (no corrections) = -9.4 kJ/mol of atoms; M_tot = 0.00 μB/atom; final energy = -0.093 hartree per atom; symmetry = Pa-3, No. 205
1.0
7.0158 0.0000 0.0000
0.0000 7.0158 0.0000
0.0000 0.0000 7.0158
Mg Sb
8 4
direct
0.1289 0.1289 0.1289
0.1289 0.3711 0.6289
0.3711 0.6289 0.1289
0.3711 0.8711 0.6289
0.6289 0.1289 0.3711
0.6289 0.3711 0.8711
0.8711 0.6289 0.3711
0.8711 0.8711 0.8711
0.0000 0.0000 0.5000
0.0000 0.5000 0.0000
0.5000 0.0000 0.0000
0.5000 0.5000 0.5000

***

No. 12
SrCdRh2 PBE optimized geometry; M_tot = 0.00 μB/atom; E_form = 0.2438 eV/atom; final energy = -0.150 hartree per atom; symmetry = R-3m, No. 166
1.0
1.6310 0.9416 8.7438
-1.6310 0.9416 8.7438
0.0000 -1.8833 8.7438
Sr Cd Rh
1 1 2
direct
0.0000 0.0000 0.0000
0.5000 0.5000 0.5000
0.2452 0.2452 0.2452
0.7548 0.7548 0.7548